Computed, not measured: PuSiTe after structural relaxation at the PBE level of DFT.

Properties
Total magnetization: 5.3 μB/f.u.
Energy: -8.237 eV/atom
Formation energy without anion corrections: -604 meV/atom

Cell lengths 3.9563, 17.9829, 4.0351 Å; angles 90.00, 90.00, 90.00 degrees
Sites, in units of the cell vectors:
Pu: 0.0000 0.0968 0.2500
Pu: 0.0000 0.9032 0.7500
Pu: 0.5000 0.4032 0.7500
Pu: 0.5000 0.5968 0.2500
Si: 0.0000 0.4676 0.2500
Si: 0.0000 0.5324 0.7500
Si: 0.5000 0.0324 0.7500
Si: 0.5000 0.9676 0.2500
Te: 0.0000 0.3168 0.2500
Te: 0.0000 0.6832 0.7500
Te: 0.5000 0.1832 0.7500
Te: 0.5000 0.8168 0.2500